Entry 1:
## Re2CN2 (PBE)

Data for an optimized crystal structure of Re2CN2.

Cell: 4.1648 4.1648 4.1648 Å, 123.97 123.97 83.25°
Closest atoms and distances in Å follow each position.
Fractional coordinates of all 5 atoms:
Re 0.2500 0.7500 0.5000  4 N 2.15
Re 0.7500 0.2500 0.5000  4 N 2.15
C 0.0000 0.0000 0.0000  2 N 2.44, 8 Re 2.50
N 0.3918 0.3918 0.0000  1 N 1.35
N 0.6082 0.6082 0.0000  1 N 1.35

Values from the calculation:
The energy comes out at -45.4 eV/f.u. As for the space group: I4/mmm, No. 139. The calculation puts the relative energy among the computed polymorphs at 0 meV per atom.

---

Entry 2:
## ReC3N (PBE)

Data for an optimized crystal structure of ReC3N.

Cell: 4.0413 4.0413 4.0413 Å, 90.00 90.00 90.00°
Closest atoms and distances in Å follow each position.
Fractional coordinates of all 5 atoms:
Re 0.0000 0.0000 0.0000  6 C 2.02
C 0.0000 0.0000 0.5000  2 Re 2.02
C 0.0000 0.5000 0.0000  2 Re 2.02
C 0.5000 0.0000 0.0000  2 Re 2.02
N 0.5000 0.5000 0.5000  12 C 2.86

Values from the calculation:
The energy comes out at -34.7 eV/f.u. As for the space group: Pm-3m, No. 221. The calculation puts the relative energy among the computed polymorphs at 0 meV per atom.

---

Entry 3:
## ReC2N (PBE)

Data for an optimized crystal structure of ReC2N.

Cell: 4.6553 4.6553 4.6553 Å, 121.90 121.90 86.74°
Closest atoms and distances in Å follow each position.
Fractional coordinates of all 8 atoms:
Re 0.0000 0.0000 0.0000  4 C 2.10
Re 0.7500 0.2500 0.5000  4 C 2.10
C 0.2178 0.6250 0.0928  2 N 1.58
C 0.3750 0.4678 0.5928  2 N 1.58
C 0.5322 0.1250 0.9072  2 N 1.58
C 0.8750 0.7822 0.4072  2 N 1.58
N 0.2500 0.7500 0.5000  4 C 1.58
N 0.5000 0.5000 0.0000  4 C 1.58

Values from the calculation:
The energy comes out at -33.7 eV/f.u. As for the space group: I-42d, No. 122.